1.
{
  "formula": "LiAlOs2",
  "functional": "PBE",
  "state": "optimized geometry",
  "e_form_ev_per_atom": -0.119,
  "energy_ry_per_atom": -0.52534,
  "lattice": [[-2.1349, 2.1349, 2.9721], [2.1349, -2.1349, 2.9721], [2.1349, 2.1349, -2.9721]],
  "species": ["Li", "Al", "Os", "Os"],
  "frac_coords": [[0.0000, 0.0000, 0.0000], [0.7500, 0.2500, 0.5000], [0.2500, 0.7500, 0.5000], [0.5000, 0.5000, 0.0000]]
}

---

2.
{
  "formula": "Li2AlOs",
  "functional": "PBE",
  "state": "optimized geometry",
  "e_form_ev_per_atom": -0.121,
  "energy_ry_per_atom": -0.35437,
  "lattice": [[4.8463, -1.3617, 0.0000], [4.8463, 1.3617, 0.0000], [-1.1790, 0.0000, 4.2446]],
  "species": ["Li", "Li", "Al", "Os"],
  "frac_coords": [[0.2489, 0.2489, 0.2353], [0.7511, 0.7511, 0.7647], [0.0000, 0.0000, 0.5000], [0.5000, 0.5000, 0.0000]]
}

---

3.
{
  "formula": "LiAlOs2",
  "functional": "PBE",
  "state": "optimized geometry",
  "e_form_ev_per_atom": 0.632,
  "energy_ry_per_atom": -0.47014,
  "lattice": [[-3.3975, 3.3975, 2.5455], [3.3975, -3.3975, 2.5455], [3.3975, 3.3975, -2.5455]],
  "species": ["Li", "Li", "Al", "Al", "Os", "Os", "Os", "Os"],
  "frac_coords": [[0.0000, 0.0000, 0.0000], [0.7500, 0.2500, 0.5000], [0.2500, 0.7500, 0.5000], [0.5000, 0.5000, 0.0000], [0.1281, 0.6250, 0.0031], [0.3750, 0.3781, 0.5031], [0.6219, 0.1250, 0.9969], [0.8750, 0.8719, 0.4969]]
}